# 1
Mg2TeBr2: optimized geometry, PBE.

The structure in CIF format:
```
data_Mg2TeBr2
_cell_length_a 9.427
_cell_length_b 9.427
_cell_length_c 3.502
_cell_angle_alpha 90.00
_cell_angle_beta 90.00
_cell_angle_gamma 90.00
_space_group_name_H-M_alt 'P 1'
_space_group_IT_number 1
_space_group_name_Hall 'P 1'
loop_
_atom_site_label
_atom_site_type_symbol
_atom_site_fract_x
_atom_site_fract_y
_atom_site_fract_z
_atom_site_occupancy
Mg1 Mg 0.243 0.257 0.000 1
Mg2 Mg 0.257 0.757 0.000 1
Mg3 Mg 0.743 0.243 0.000 1
Mg4 Mg 0.757 0.743 0.000 1
Te1 Te 0.000 0.000 0.500 1
Te2 Te 0.500 0.500 0.500 1
Br1 Br 0.118 0.618 0.500 1
Br2 Br 0.382 0.118 0.500 1
Br3 Br 0.618 0.882 0.500 1
Br4 Br 0.882 0.382 0.500 1
```

Uncorrected formation energy, kJ/mol of atoms: -38.7
Polymorph energy (0 for the lowest one), meV/atom: 785

# 2
LaNdY6Ho2: optimized geometry, PBE.

The structure in CIF format:
```
data_LaNdY6Ho2
_cell_length_a 8.862
_cell_length_b 8.862
_cell_length_c 9.575
_cell_angle_alpha 93.22
_cell_angle_beta 93.22
_cell_angle_gamma 116.85
_space_group_name_H-M_alt 'P 1'
_space_group_IT_number 1
_space_group_name_Hall 'P 1'
loop_
_atom_site_label
_atom_site_type_symbol
_atom_site_fract_x
_atom_site_fract_y
_atom_site_fract_z
_atom_site_occupancy
La1 La 0.033 0.967 0.750 1
La2 La 0.967 0.033 0.250 1
Nd1 Nd 0.410 0.590 0.250 1
Nd2 Nd 0.590 0.410 0.750 1
Y1 Y 0.015 0.560 0.679 1
Y2 Y 0.117 0.754 0.058 1
Y3 Y 0.246 0.883 0.442 1
Y4 Y 0.294 0.517 0.887 1
Y5 Y 0.440 0.985 0.821 1
Y6 Y 0.483 0.706 0.613 1
Y7 Y 0.517 0.294 0.387 1
Y8 Y 0.560 0.015 0.179 1
Y9 Y 0.706 0.483 0.113 1
Y10 Y 0.754 0.117 0.558 1
Y11 Y 0.883 0.246 0.942 1
Y12 Y 0.985 0.440 0.321 1
Ho1 Ho 0.196 0.299 0.552 1
Ho2 Ho 0.299 0.196 0.052 1
Ho3 Ho 0.701 0.804 0.948 1
Ho4 Ho 0.804 0.701 0.448 1
```

Formation enthalpy at 0 K, eV/atom: 0.1203

# 3
KNaPSe3: optimized geometry, PBE.

The structure in CIF format:
```
data_KNaPSe3
_cell_length_a 7.366
_cell_length_b 7.366
_cell_length_c 8.188
_cell_angle_alpha 93.41
_cell_angle_beta 93.41
_cell_angle_gamma 63.65
_space_group_name_H-M_alt 'P 1'
_space_group_IT_number 1
_space_group_name_Hall 'P 1'
loop_
_atom_site_label
_atom_site_type_symbol
_atom_site_fract_x
_atom_site_fract_y
_atom_site_fract_z
_atom_site_occupancy
K1 K 0.167 0.167 0.394 1
K2 K 0.833 0.833 0.606 1
Na1 Na 0.292 0.708 0.000 1
Na2 Na 0.708 0.292 0.000 1
P1 P 0.482 0.482 0.360 1
P2 P 0.518 0.518 0.640 1
Se1 Se 0.152 0.625 0.298 1
Se2 Se 0.364 0.364 0.757 1
Se3 Se 0.375 0.848 0.702 1
Se4 Se 0.625 0.152 0.298 1
Se5 Se 0.636 0.636 0.243 1
Se6 Se 0.848 0.375 0.702 1
```

Uncorrected formation energy, kJ/mol of atoms: -68.7